No. 1
The following is a DFT calculation (PBE) of LiCd5In6 after structural relaxation.

Summary:
DFT formation energy (eV/f.u.): -0.2
Total DFT energy (no corrections) (eV per atom): -1.927
Space group: P-1

Cell lengths 5.764, 6.621, 8.231 Å; angles 111.87, 90.44, 90.26 degrees
Fractional positions:
1 Li 0.000 0.000 0.000
2 Cd 0.000 0.500 0.000
3 Cd 0.325 0.167 0.337
4 Cd 0.344 0.669 0.338
5 Cd 0.656 0.331 0.662
6 Cd 0.675 0.833 0.663
7 In 0.156 0.087 0.674
8 In 0.157 0.596 0.673
9 In 0.499 0.755 0.001
10 In 0.501 0.245 0.999
11 In 0.843 0.404 0.327
12 In 0.844 0.913 0.326


No. 2
The following is a DFT calculation (PBE) of YVAs2P after structural relaxation.

Summary:
DFT formation energy (eV/f.u.): 0.8
Total DFT energy (no corrections) (eV per atom): -5.901
Space group: P4/mmm

Cell lengths 4.542, 4.542, 5.740 Å; angles 90.00, 90.00, 90.00 degrees
Fractional positions:
1 Y 0.000 0.000 0.000
2 V 0.000 0.000 0.500
3 As 0.000 0.500 0.500
4 As 0.500 0.000 0.500
5 P 0.500 0.500 0.000


No. 3
The following is a DFT calculation (PBE) of TmNiPd after structural relaxation.

Summary:
DFT formation energy (eV/f.u.): -2.0
Total DFT energy (no corrections) (eV per atom): -5.809
Space group: Imma

Cell lengths 5.217, 5.217, 5.217 Å; angles 121.36, 117.48, 91.04 degrees
Fractional positions:
1 Tm 0.368 0.118 0.250
2 Tm 0.632 0.882 0.750
3 Ni 0.000 0.000 0.500
4 Ni 0.000 0.500 0.000
5 Pd 0.000 0.500 0.500
6 Pd 0.500 0.500 0.000


No. 4
The following is a DFT calculation (PBE) of LiSc2Te after structural relaxation.

Summary:
Total DFT energy (no corrections) (eV per atom): -4.939
Space group: P4mm
Formation energy from raw total energies (eV/atom): -0.509

Cell lengths 3.831, 3.831, 6.163 Å; angles 90.00, 90.00, 90.00 degrees
Fractional positions:
1 Li 0.000 0.000 0.000
2 Sc 0.000 0.000 0.516
3 Sc 0.500 0.500 0.248
4 Te 0.500 0.500 0.740


No. 5
The following is a DFT calculation (PBE) of TaBe2Zn after structural relaxation.

Summary:
DFT formation energy (eV/f.u.): 0.0
Total DFT energy (no corrections) (eV per atom): -5.136
Space group: P4mm

Cell lengths 2.759, 2.759, 6.408 Å; angles 90.00, 90.00, 90.00 degrees
Fractional positions:
1 Ta 0.000 0.000 0.000
2 Be 0.000 0.000 0.561
3 Be 0.500 0.500 0.726
4 Zn 0.500 0.500 0.328


No. 6
The following is a DFT calculation (PBE) of DyHo8Sb6 after structural relaxation.

Summary:
Total DFT energy (no corrections) (eV per atom): -5.133
Space group: R-3
Formation energy from raw total energies (eV/atom): -0.736

Cell lengths 9.529, 9.529, 9.529 Å; angles 49.09, 49.09, 49.09 degrees
Fractional positions:
1 Dy 0.000 0.000 0.000
2 Ho 0.122 0.789 0.454
3 Ho 0.211 0.546 0.878
4 Ho 0.333 0.333 0.333
5 Ho 0.454 0.122 0.789
6 Ho 0.546 0.878 0.211
7 Ho 0.667 0.667 0.667
8 Ho 0.789 0.454 0.122
9 Ho 0.878 0.211 0.546
10 Sb 0.067 0.401 0.733
11 Sb 0.267 0.933 0.599
12 Sb 0.401 0.733 0.067
13 Sb 0.599 0.267 0.933
14 Sb 0.733 0.067 0.401
15 Sb 0.933 0.599 0.267


No. 7
The following is a DFT calculation (PBE) of RbH2S after structural relaxation.

Summary:
Total DFT energy (no corrections) (eV per atom): -2.658
Excess energy over the best structure of this formula in the dataset (eV/atom): 0.2912
Space group: R-3m

Cell lengths 5.411, 5.411, 5.411 Å; angles 39.66, 39.66, 39.66 degrees
Fractional positions:
1 Rb 0.000 0.000 0.000
2 H 0.189 0.189 0.189
3 H 0.811 0.811 0.811
4 S 0.500 0.500 0.500


No. 8
The following is a DFT calculation (PBE) of MgZrCo2 after structural relaxation.

Summary:
DFT formation energy (eV/f.u.): 0.8
Total DFT energy (no corrections) (eV per atom): -5.876
Space group: F-43m

Cell lengths 4.430, 4.430, 4.430 Å; angles 60.00, 60.00, 60.00 degrees
Fractional positions:
1 Mg 0.000 0.000 0.000
2 Zr 0.250 0.250 0.250
3 Co 0.500 0.500 0.500
4 Co 0.750 0.750 0.750


No. 9
The following is a DFT calculation (PBE) of Ba4ZnMo after structural relaxation.

Summary:
DFT formation energy (eV/f.u.): 6.7
Total DFT energy (no corrections) (eV per atom): -2.191
Space group: F-43m

Cell lengths 7.207, 7.207, 7.207 Å; angles 60.00, 60.00, 60.00 degrees
Fractional positions:
1 Ba 0.125 0.125 0.125
2 Ba 0.125 0.125 0.625
3 Ba 0.125 0.625 0.125
4 Ba 0.625 0.125 0.125
5 Zn 0.500 0.500 0.500
6 Mo 0.750 0.750 0.750


No. 10
The following is a DFT calculation (PBE) of Ac4Cu3Bi8 after structural relaxation.

Summary:
DFT formation energy (eV/f.u.): -8.2
Total DFT energy (no corrections) (eV per atom): -4.529
Space group: P-4m2

Cell lengths 4.721, 4.721, 20.632 Å; angles 90.00, 90.00, 90.00 degrees
Fractional positions:
1 Ac 0.000 0.500 0.114
2 Ac 0.000 0.500 0.620
3 Ac 0.500 0.000 0.380
4 Ac 0.500 0.000 0.886
5 Cu 0.000 0.000 0.000
6 Cu 0.000 0.000 0.500
7 Cu 0.500 0.500 0.500
8 Bi 0.000 0.000 0.248
9 Bi 0.000 0.000 0.752
10 Bi 0.000 0.500 0.426
11 Bi 0.000 0.500 0.932
12 Bi 0.500 0.000 0.068
13 Bi 0.500 0.000 0.574
14 Bi 0.500 0.500 0.248
15 Bi 0.500 0.500 0.752


No. 11
The following is a DFT calculation (PBE) of ScBeNi6B after structural relaxation.

Summary:
DFT formation energy (eV/f.u.): -1.6
Total DFT energy (no corrections) (eV per atom): -5.890
Space group: Imma

Cell lengths 6.770, 6.770, 6.770 Å; angles 131.94, 111.11, 88.37 degrees
Fractional positions:
1 Sc 0.453 0.203 0.250
2 Sc 0.547 0.797 0.750
3 Be 0.000 0.000 0.500
4 Be 0.000 0.500 0.000
5 Ni 0.118 0.409 0.274
6 Ni 0.118 0.844 0.709
7 Ni 0.179 0.929 0.250
8 Ni 0.263 0.513 0.750
9 Ni 0.366 0.156 0.774
10 Ni 0.366 0.591 0.209
11 Ni 0.634 0.409 0.791
12 Ni 0.634 0.844 0.226
13 Ni 0.737 0.487 0.250
14 Ni 0.821 0.071 0.750
15 Ni 0.882 0.156 0.291
16 Ni 0.882 0.591 0.726
17 B 0.000 0.000 0.000
18 B 0.500 0.000 0.500


No. 12
The following is a DFT calculation (PBE) of Rb2DyScS4 after structural relaxation.

Summary:
Total DFT energy (no corrections) (eV per atom): -5.446
Space group: P2/m
Formation energy from raw total energies (eV/atom): -1.774

Cell lengths 6.888, 3.981, 7.984 Å; angles 90.00, 106.70, 90.00 degrees
Fractional positions:
1 Rb 0.000 0.000 0.000
2 Rb 0.500 0.500 0.000
3 Dy 0.000 0.500 0.500
4 Sc 0.500 0.000 0.500
5 S 0.241 0.000 0.690
6 S 0.282 0.500 0.315
7 S 0.718 0.500 0.685
8 S 0.759 0.000 0.310


Q: Which value of total DFT energy (no corrections) does entry 10 give?
A: -4.529 eV per atom


Q: Which value of total DFT energy (no corrections) does entry 8 give?
A: -5.876 eV per atom